A plane-wave DFT calculation with GGA-PBE was carried out for a geometry-optimized LaCeGaSn structure.

## Properties
Raw total energy, eV per atom: -5.000
Excess energy over the best structure of this formula in the dataset, eV per atom: 0.0000
Energy of formation from the pure elements, eV/f.u.: -2.1
Magnetic moment, μB per formula unit: 1.276
DOS at the Fermi energy, states/eV/atom: 1.992

Lattice parameters (Å, degrees): 7.6501 7.6501 7.6501 90.00 90.00 90.00
Closest atoms and distances in Å follow each position.
Space group F-43m (No. 216)
Unique sites:
La1 0.0000 0.0000 0.0000 [4 per cell]  4 Sn 3.31, 4 Ga 3.31
Ce1 0.0000 0.0000 0.5000 [4 per cell]  4 Ga 3.31, 4 Sn 3.31
Ga1 0.2500 0.2500 0.7500 [4 per cell]  4 La 3.31, 4 Ce 3.31
Sn1 0.2500 0.2500 0.2500 [4 per cell]  4 La 3.31, 4 Ce 3.31

=====

A plane-wave DFT calculation with GGA-PBE was carried out for a geometry-optimized LaCe2Ga2Sn2 structure.

## Properties
Raw total energy, eV per atom: -4.789
Energy of formation from the pure elements, eV/f.u.: -2.7
Magnetic moment, μB per formula unit: 2.616
DOS at the Fermi energy, states/eV/atom: 1.927

Lattice parameters (Å, degrees): 4.6862 4.6862 29.2889 90.00 90.00 120.00
Closest atoms and distances in Å follow each position.
Space group R-3m (No. 166, hexagonal axes)
Unique sites:
La1 0.0000 0.0000 0.0000 [3 per cell]  6 Sn 3.33
Ce1 0.0000 0.0000 0.1372 [6 per cell]  3 Ga 3.04, 3 Ce 3.21, 3 Sn 3.41
Ga1 0.0000 0.0000 0.4229 [6 per cell]  3 Sn 2.79, 3 Ce 3.04
Sn1 0.0000 0.0000 0.2668 [6 per cell]  3 Ga 2.79

=====

Question: Which value of energy of formation from the pure elements does entry 2 give?
Answer: -2.7 eV/f.u.